(1)
Below is a PBEsol-optimized structure of KSr2Ni, with properties calculated at the meta-GGA SCAN level.

The structure in CIF format:
```
data_KSr2Ni
_cell_length_a 4.1165
_cell_length_b 4.1165
_cell_length_c 9.8319
_cell_angle_alpha 90.00
_cell_angle_beta 90.00
_cell_angle_gamma 90.00
_space_group_name_H-M_alt 'P 4 m m'
_space_group_IT_number 99
loop_
_space_group_symop_operation_xyz
'x,y,z'
'-y,x,z'
'-x,-y,z'
'y,-x,z'
'-x,y,z'
'y,x,z'
'x,-y,z'
'-y,-x,z'
loop_
_atom_site_label
_atom_site_type_symbol
_atom_site_fract_x
_atom_site_fract_y
_atom_site_fract_z
K1 K 0.0000 0.0000 0.0000
Sr1 Sr 0.0000 0.0000 0.3699
Sr2 Sr 0.5000 0.5000 0.6436
Ni1 Ni 0.5000 0.5000 0.3453
```

Output
M_tot   0.22 μB/f.u.
Calculated formation energy   311 meV per atom

---

(2)
Below is a PBEsol-optimized structure of K2SrNi, with properties calculated at the meta-GGA SCAN level.

The structure in CIF format:
```
data_K2SrNi
_cell_length_a 4.8675
_cell_length_b 6.1163
_cell_length_c 4.8922
_cell_angle_alpha 90.00
_cell_angle_beta 99.83
_cell_angle_gamma 90.00
_space_group_name_H-M_alt 'P 1 2/m 1'
_space_group_IT_number 10
loop_
_space_group_symop_operation_xyz
'x,y,z'
'-x,-y,-z'
'-x,y,-z'
'x,-y,z'
loop_
_atom_site_label
_atom_site_type_symbol
_atom_site_fract_x
_atom_site_fract_y
_atom_site_fract_z
K1 K 0.2035 0.0000 0.2962
Sr1 Sr 0.5000 0.5000 0.0000
Ni1 Ni 0.0000 0.5000 0.5000
```

Output
M_tot   0.00 μB/f.u.
Calculated formation energy   620 meV per atom

---

(3)
Below is a PBEsol-optimized structure of KSr2NiW, with properties calculated at the meta-GGA SCAN level.

The structure in CIF format:
```
data_KSr2NiW
_cell_length_a 5.7531
_cell_length_b 5.7531
_cell_length_c 4.3265
_cell_angle_alpha 90.00
_cell_angle_beta 90.00
_cell_angle_gamma 90.00
_space_group_name_H-M_alt 'P 4/m m m'
_space_group_IT_number 123
_space_group_name_Hall '-P 4 2'
loop_
_atom_site_label
_atom_site_type_symbol
_atom_site_fract_x
_atom_site_fract_y
_atom_site_fract_z
K1 K 0.0000 0.0000 0.0000
Sr1 Sr 0.0000 0.5000 0.0000
Ni1 Ni 0.0000 0.0000 0.5000
W1 W 0.5000 0.5000 0.5000
```

Output
M_tot   3.65 μB/f.u.
Calculated formation energy   1985 meV per atom

---

(4)
Below is a PBEsol-optimized structure of KTa3Ni, with properties calculated at the meta-GGA SCAN level.

The structure in CIF format:
```
data_KTa3Ni
_cell_length_a 4.4783
_cell_length_b 4.4783
_cell_length_c 4.4783
_cell_angle_alpha 90.00
_cell_angle_beta 90.00
_cell_angle_gamma 90.00
_space_group_name_H-M_alt 'P m -3 m'
_space_group_IT_number 221
_space_group_name_Hall '-P 4 2 3'
loop_
_atom_site_label
_atom_site_type_symbol
_atom_site_fract_x
_atom_site_fract_y
_atom_site_fract_z
K1 K 0.0000 0.0000 0.0000
Ta1 Ta 0.0000 0.0000 0.5000
Ni1 Ni 0.5000 0.5000 0.5000
```

Output
M_tot   0.01 μB/f.u.
Calculated formation energy   3309 meV per atom